Record 1
Li2ZnInAg2Au2 PBE optimized geometry; E = -22.7 eV/cell; volume = 135 Å³ per cell; SG = No. 115
1.0
4.533 0.000 0.000
0.000 4.533 0.000
0.000 0.000 6.574
Li Zn In Ag Au
2 1 1 2 2
Cartesian
0.000 0.000 0.000
2.266 2.266 3.287
0.000 0.000 3.287
2.266 2.266 0.000
0.000 2.266 4.808
2.266 0.000 1.766
0.000 2.266 1.756
2.266 0.000 4.818



Record 2
TmLuAs PBE optimized geometry; magnetization = 0.0 Bohr magnetons per cell; E = -15.6 eV/cell; volume = 75 Å³ per cell; offset from the most stable computed form = 0.0 meV/atom; SG = No. 216
1.0
0.000 3.341 3.341
3.341 0.000 3.341
3.341 3.341 0.000
Tm Lu As
1 1 1
Cartesian
0.000 0.000 0.000
3.341 3.341 3.341
5.012 5.012 5.012



Record 3
Ni5W7 PBE optimized geometry; magnetization = 0.0 Bohr magnetons per cell; E = -224.9 eV/cell; volume = 357 Å³ per cell; offset from the most stable computed form = 285.4 meV/atom; formation energy from the elements = 507 meV/atom; SG = No. 194
1.0
5.019 0.000 0.000
-2.509 4.346 0.000
0.000 0.000 16.380
Ni W
10 14
Cartesian
-1.255 2.173 0.000
-1.255 2.173 8.190
0.000 2.898 2.577
0.000 2.898 5.613
2.509 0.000 0.000
2.509 0.000 8.190
1.255 2.173 0.000
1.255 2.173 8.190
2.509 1.449 10.766
2.509 1.449 13.803
0.000 0.000 1.475
0.000 0.000 6.715
0.000 0.000 9.665
0.000 0.000 14.904
0.000 1.423 12.285
-1.277 3.635 12.285
1.232 0.711 4.095
0.000 2.898 10.095
0.000 2.898 14.475
2.509 1.449 1.905
2.509 1.449 6.285
1.277 3.635 12.285
3.786 0.711 4.095
2.509 2.923 4.095